[1]
Below is an optimized crystal structure of CsTlNiF6, with properties calculated at the PBE+U level.

Magnetization = 4.00 μB per cell
VASP energy = -4.098 eV/atom

a b c (Å): 7.7200 7.7200 7.7200
angles (deg): 120.83 117.43 91.54
Sites, in units of the cell vectors:
Cs 0.3408 0.0908 0.2500
Cs 0.6592 0.9092 0.7500
Tl 0.0000 0.5000 0.5000
Tl 0.5000 0.5000 0.0000
Ni 0.0000 0.0000 0.5000
Ni 0.0000 0.5000 0.0000
F 0.0465 0.7965 0.2500
F 0.0521 0.4005 0.2138
F 0.0521 0.8383 0.6516
F 0.3133 0.1617 0.7138
F 0.3133 0.5995 0.1516
F 0.3471 0.5971 0.7500
F 0.6529 0.4029 0.2500
F 0.6867 0.4005 0.8484
F 0.6867 0.8383 0.2862
F 0.9479 0.1617 0.3484
F 0.9479 0.5995 0.7862
F 0.9535 0.2035 0.7500



[2]
Below is an optimized crystal structure of Cs2TmNi3F12, with properties calculated at the PBE+U level.

Magnetization = 5.00 μB per cell
VASP energy = -4.719 eV/atom

a b c (Å): 7.6124 7.6124 7.6124
angles (deg): 57.88 57.88 57.88
Sites, in units of the cell vectors:
Cs 0.1144 0.1144 0.1144
Cs 0.8856 0.8856 0.8856
Tm 0.5000 0.5000 0.5000
Ni 0.0000 0.5000 0.5000
Ni 0.5000 0.0000 0.5000
Ni 0.5000 0.5000 0.0000
F 0.1557 0.5810 0.5810
F 0.1914 0.1914 0.5786
F 0.1914 0.5786 0.1914
F 0.4190 0.4190 0.8443
F 0.4190 0.8443 0.4190
F 0.4214 0.8086 0.8086
F 0.5786 0.1914 0.1914
F 0.5810 0.1557 0.5810
F 0.5810 0.5810 0.1557
F 0.8086 0.4214 0.8086
F 0.8086 0.8086 0.4214
F 0.8443 0.4190 0.4190



[3]
Below is an optimized crystal structure of Cs2V3NiF12, with properties calculated at the PBE+U level.

Magnetization = 9.00 μB per cell
VASP energy = -5.503 eV/atom

a b c (Å): 7.5102 7.5102 7.5102
angles (deg): 60.01 60.01 60.01
Sites, in units of the cell vectors:
Cs 0.1295 0.1295 0.1295
Cs 0.8705 0.8705 0.8705
V 0.0000 0.5000 0.5000
V 0.5000 0.0000 0.5000
V 0.5000 0.5000 0.0000
Ni 0.5000 0.5000 0.5000
F 0.1795 0.5689 0.5689
F 0.1807 0.1807 0.5667
F 0.1807 0.5667 0.1807
F 0.4311 0.4311 0.8205
F 0.4311 0.8205 0.4311
F 0.4333 0.8193 0.8193
F 0.5667 0.1807 0.1807
F 0.5689 0.1795 0.5689
F 0.5689 0.5689 0.1795
F 0.8193 0.4333 0.8193
F 0.8193 0.8193 0.4333
F 0.8205 0.4311 0.4311



[4]
Below is an optimized crystal structure of Cs2YNiF6, with properties calculated at the PBE+U level.

Magnetization = 1.00 μB per cell
VASP energy = -5.162 eV/atom

a b c (Å): 6.8621 6.8621 6.8621
angles (deg): 127.48 127.48 77.48
Sites, in units of the cell vectors:
Cs 0.2500 0.7500 0.5000
Cs 0.7500 0.2500 0.5000
Y 0.0000 0.0000 0.0000
Ni 0.5000 0.5000 0.0000
F 0.2036 0.2036 0.0000
F 0.2562 0.2562 0.5124
F 0.2562 0.7438 0.0000
F 0.7438 0.2562 0.0000
F 0.7438 0.7438 0.4876
F 0.7964 0.7964 0.0000



[5]
Below is an optimized crystal structure of CsYNiF6, with properties calculated at the PBE+U level.

Magnetization = 3.98 μB per cell
VASP energy = -5.525 eV/atom

a b c (Å): 7.8002 7.8002 7.8002
angles (deg): 120.88 117.27 91.63
Sites, in units of the cell vectors:
Cs 0.3263 0.0763 0.2500
Cs 0.6737 0.9237 0.7500
Y 0.0000 0.5000 0.5000
Y 0.5000 0.5000 0.0000
Ni 0.0000 0.0000 0.5000
Ni 0.0000 0.5000 0.0000
F 0.0463 0.7963 0.2500
F 0.0484 0.4061 0.2149
F 0.0484 0.8334 0.6422
F 0.3088 0.1666 0.7149
F 0.3088 0.5939 0.1422
F 0.3344 0.5844 0.7500
F 0.6656 0.4156 0.2500
F 0.6912 0.4061 0.8578
F 0.6912 0.8334 0.2851
F 0.9516 0.1666 0.3578
F 0.9516 0.5939 0.7851
F 0.9537 0.2037 0.7500



[6]
Below is an optimized crystal structure of Cs2ZnNiF6, with properties calculated at the PBE+U level.

Magnetization = 4.16 μB per cell
Energy relative to the lowest polymorph listed for this composition = 0 meV per atom

a b c (Å): 10.6421 10.6421 10.6421
angles (deg): 33.82 33.82 33.82
Sites, in units of the cell vectors:
Cs 0.1281 0.1281 0.1281
Cs 0.2869 0.2869 0.2869
Cs 0.7131 0.7131 0.7131
Cs 0.8719 0.8719 0.8719
Zn 0.0000 0.0000 0.0000
Zn 0.5000 0.5000 0.5000
Ni 0.4075 0.4075 0.4075
Ni 0.5925 0.5925 0.5925
F 0.1681 0.5971 0.5971
F 0.2055 0.2055 0.7066
F 0.2055 0.7066 0.2055
F 0.2934 0.7945 0.7945
F 0.4029 0.4029 0.8319
F 0.4029 0.8319 0.4029
F 0.5971 0.1681 0.5971
F 0.5971 0.5971 0.1681
F 0.7066 0.2055 0.2055
F 0.7945 0.2934 0.7945
F 0.7945 0.7945 0.2934
F 0.8319 0.4029 0.4029



[7]
Below is an optimized crystal structure of Cs2ZnNiF6, with properties calculated at the PBE+U level.

Magnetization = 2.00 μB per cell
Energy relative to the lowest polymorph listed for this composition = 122 meV per atom

a b c (Å): 6.4582 6.4582 6.4582
angles (deg): 125.35 125.35 80.96
Sites, in units of the cell vectors:
Cs 0.2500 0.7500 0.5000
Cs 0.7500 0.2500 0.5000
Zn 0.0000 0.0000 0.0000
Ni 0.5000 0.5000 0.0000
F 0.1946 0.1946 0.0000
F 0.2690 0.2690 0.5380
F 0.2690 0.7310 0.0000
F 0.7310 0.2690 0.0000
F 0.7310 0.7310 0.4620
F 0.8054 0.8054 0.0000



[8]
Below is an optimized crystal structure of Cs2Zn3NiF12, with properties calculated at the PBE+U level.

Magnetization = 2.68 μB per cell
VASP energy = -3.934 eV/atom

a b c (Å): 7.4617 7.4617 7.4617
angles (deg): 59.09 59.09 59.09
Sites, in units of the cell vectors:
Cs 0.1255 0.1255 0.1255
Cs 0.8745 0.8745 0.8745
Zn 0.0000 0.5000 0.5000
Zn 0.5000 0.0000 0.5000
Zn 0.5000 0.5000 0.0000
Ni 0.5000 0.5000 0.5000
F 0.1789 0.1789 0.5689
F 0.1789 0.5689 0.1789
F 0.1922 0.5673 0.5673
F 0.4311 0.8211 0.8211
F 0.4327 0.4327 0.8078
F 0.4327 0.8078 0.4327
F 0.5673 0.1922 0.5673
F 0.5673 0.5673 0.1922
F 0.5689 0.1789 0.1789
F 0.8078 0.4327 0.4327
F 0.8211 0.4311 0.8211
F 0.8211 0.8211 0.4311